[1]
Entry from Alexandria: a relaxed NdSm3Y6Tm2 crystal (PBE-GGA).

Output
Total magnetization ... 0.00 μB per formula unit
ΔE_f ... 0.019 eV per atom

Cell: 6.2006 6.2006 11.8513 Å, 94.98 94.98 119.96°
Sites, in units of the cell vectors:
Nd1 0.0000 0.0000 0.0000
Sm1 0.1670 0.8330 0.5000
Sm2 0.8330 0.1670 0.5000
Sm3 0.5000 0.5000 0.5000
Y1 0.9168 0.5827 0.7516
Y2 0.7489 0.7489 0.2484
Y3 0.0832 0.4173 0.2484
Y4 0.5827 0.9168 0.7516
Y5 0.2511 0.2511 0.7516
Y6 0.4173 0.0832 0.2484
Tm1 0.3333 0.6667 0.0000
Tm2 0.6667 0.3333 0.0000


[2]
Entry from Alexandria: a relaxed Nd2SmYTm2 crystal (PBE-GGA).

Output
Total magnetization ... 0.00 μB per formula unit
ΔE_f ... 0.064 eV per atom

Cell: 5.6610 9.8066 7.0752 Å, 90.00 90.00 90.00°
Sites, in units of the cell vectors:
Nd1 0.5000 0.8329 0.2484
Nd2 0.5000 0.1671 0.7516
Nd3 0.0000 0.6671 0.7484
Nd4 0.0000 0.3329 0.2516
Sm1 0.5000 0.5000 0.0000
Sm2 0.0000 0.0000 0.5000
Y1 0.0000 0.0000 0.0000
Y2 0.5000 0.5000 0.5000
Tm1 0.5000 0.1664 0.2504
Tm2 0.0000 0.6664 0.2496
Tm3 0.5000 0.8336 0.7496
Tm4 0.0000 0.3336 0.7504


[3]
Entry from Alexandria: a relaxed Nd3SmY6Tm2 crystal (PBE-GGA).

Output
Total magnetization ... 0.00 μB per formula unit
ΔE_f ... 0.019 eV per atom

Cell: 6.2212 6.2212 11.8652 Å, 95.00 95.00 119.97°
Sites, in units of the cell vectors:
Nd1 0.1669 0.8331 0.5000
Nd2 0.8331 0.1669 0.5000
Nd3 0.5000 0.5000 0.5000
Sm1 0.0000 0.0000 0.0000
Y1 0.9175 0.5836 0.7535
Y2 0.7485 0.7485 0.2466
Y3 0.0825 0.4164 0.2465
Y4 0.5836 0.9175 0.7535
Y5 0.2515 0.2515 0.7534
Y6 0.4164 0.0825 0.2465
Tm1 0.3333 0.6667 0.0000
Tm2 0.6667 0.3333 0.0000


[4]
Entry from Alexandria: a relaxed NdSmY2Tm2 crystal (PBE-GGA).

Output
Total magnetization ... 0.00 μB per formula unit
ΔE_f ... 0.271 eV per atom

Cell: 3.4145 6.5254 17.9090 Å, 90.00 90.00 90.00°
Sites, in units of the cell vectors:
Nd1 0.0000 0.0000 0.0000
Nd2 0.5000 0.5000 0.5000
Sm1 0.5000 0.5000 0.0000
Sm2 0.0000 0.0000 0.5000
Y1 0.5000 0.2789 0.3119
Y2 0.0000 0.7789 0.1881
Y3 0.5000 0.7211 0.6881
Y4 0.0000 0.2211 0.8119
Tm1 0.5000 0.7800 0.3524
Tm2 0.5000 0.2200 0.6476
Tm3 0.0000 0.7200 0.8524
Tm4 0.0000 0.2800 0.1476


[5]
Entry from Alexandria: a relaxed Nd6SmY3Tm2 crystal (PBE-GGA).

Output
Total magnetization ... 0.00 μB per formula unit
ΔE_f ... 0.012 eV per atom

Cell: 6.2825 6.2825 11.8798 Å, 95.04 95.04 119.99°
Sites, in units of the cell vectors:
Nd1 0.9165 0.5824 0.7511
Nd2 0.7495 0.7495 0.2488
Nd3 0.0835 0.4176 0.2489
Nd4 0.5824 0.9165 0.7511
Nd5 0.2505 0.2505 0.7512
Nd6 0.4176 0.0835 0.2489
Sm1 0.0000 0.0000 0.0000
Y1 0.1668 0.8332 0.5000
Y2 0.8332 0.1668 0.5000
Y3 0.5000 0.5000 0.5000
Tm1 0.3334 0.6666 0.0000
Tm2 0.6666 0.3334 0.0000


[6]
Entry from Alexandria: a relaxed Nd4SmY2Tm2 crystal (PBE-GGA).

Output
Total magnetization ... 0.00 μB per formula unit
ΔE_f ... 0.020 eV per atom

Cell: 5.0951 8.0759 8.0623 Å, 107.31 90.00 108.39°
Sites, in units of the cell vectors:
Nd1 0.7775 0.5549 0.6695
Nd2 0.2225 0.4451 0.3305
Nd3 0.5545 0.1089 0.3296
Nd4 0.4455 0.8911 0.6704
Sm1 0.0000 0.0000 0.0000
Y1 0.8883 0.7765 0.3309
Y2 0.1117 0.2235 0.6691
Tm1 0.3319 0.6637 0.0002
Tm2 0.6681 0.3363 0.9998


no.,Fermi-level density of states (states/eV/f.u.)
1,16.44
2,10.42
3,16.84
4,9.61
5,13.90
6,13.20